Pm3Be2SbPt9 PBE optimized geometry; density of states at the Fermi level = 0.342 states/eV/atom; calculated volume = 19.0 Å³/atom; formation energy from raw total energies = -759 meV per atom; ρ = 13.56 Mg/m³; space group = P-3m1, No. 164; VASP energy = -6.1054 eV/atom
1.0
5.893 0.000 0.000
-2.946 5.103 0.000
0.000 0.000 9.489
Pm Be Sb Pt
3 2 1 9
direct
0.000 0.000 0.000 Pm
0.333 0.667 0.637 Pm
0.667 0.333 0.363 Pm
0.333 0.667 0.144 Be
0.667 0.333 0.856 Be
0.000 0.000 0.500 Sb
0.000 0.500 0.000 Pt
0.165 0.331 0.285 Pt
0.165 0.835 0.285 Pt
0.331 0.165 0.715 Pt
0.500 0.000 0.000 Pt
0.500 0.500 0.000 Pt
0.669 0.835 0.285 Pt
0.835 0.165 0.715 Pt
0.835 0.669 0.715 Pt